Density functional theory data (GGA-PBE) for crystalline Cs2RbAu at its relaxed geometry.

a b c (Å): 12.998 12.998 12.998
angles (deg): 23.00 23.00 23.00
Fractional coordinates of all 4 atoms:
Cs 0.000 0.000 0.000
Cs 0.227 0.227 0.227
Rb 0.779 0.779 0.779
Au 0.614 0.614 0.614

Computed properties:
ΔH_f (0 K)	-0.18	eV per atom
density of states at the Fermi level	2.45	states/eV per cell
E above lowest polymorph	0.00	eV/f.u.
SG	R3m, No. 160
M_tot	0.0	μB/f.u.